# 1
# La4MgAl (PBE, relaxed)
# - crystal system = monoclinic
# - formation energy from the elements (eV/atom) = -0.133
# - electronic total energy (eV/atom) = -4.307
# - density of states at the Fermi level (states/eV/cell) = 16.092
# - ΔE to the lowest computed polymorph (kJ/mol of formula units) = 0
# - magnetization (Bohr magnetons per cell) = 0.0
data_La4MgAl
_chemical_formula_sum 'La8 Mg2 Al2'
_symmetry_space_group_name_H-M 'C 1 2/m 1'
_symmetry_Int_Tables_number 12
_symmetry_space_group_name_Hall '-C 2y'
_cell_length_a 12.586
_cell_length_b 4.018
_cell_length_c 7.919
_cell_angle_alpha 90.00
_cell_angle_beta 108.29
_cell_angle_gamma 90.00
loop_
_atom_site_label
_atom_site_type_symbol
_atom_site_fract_x
_atom_site_fract_y
_atom_site_fract_z
La1 La 0.148 0.000 0.334
La2 La 0.149 0.000 0.814
Mg1 Mg 0.000 0.500 0.000
Al1 Al 0.000 0.500 0.500

# 2
# LaMgAl (PBE, relaxed)
# - crystal system = monoclinic
# - formation energy from the elements (eV/atom) = -0.190
# - electronic total energy (eV/atom) = -3.611
# - density of states at the Fermi level (states/eV/cell) = 2.529
# - magnetization (Bohr magnetons per cell) = 0.0
data_LaMgAl
_chemical_formula_sum 'La2 Mg2 Al2'
_symmetry_space_group_name_H-M 'P 1 21/m 1'
_symmetry_Int_Tables_number 11
_symmetry_space_group_name_Hall '-P 2yb'
_cell_length_a 4.895
_cell_length_b 5.084
_cell_length_c 6.717
_cell_angle_alpha 90.00
_cell_angle_beta 111.30
_cell_angle_gamma 90.00
loop_
_atom_site_label
_atom_site_type_symbol
_atom_site_fract_x
_atom_site_fract_y
_atom_site_fract_z
La1 La 0.105 0.250 0.208
Mg1 Mg 0.395 0.250 0.789
Al1 Al 0.242 0.750 0.484

> What is the formula in the second record?

LaMgAl